# 1
Below is HfTa2CrNi after structural relaxation, with properties calculated at the PBEsol level.

abc: 4.3677 4.5804 4.5804
angles: 90.00 90.00 90.00
Each line ends with the local moment (μB).
Sites, in units of the cell vectors:
Hf 0.5000 0.5000 0.5000  -0.06
Ni 0.0000 0.0000 0.0000  0.21
Ta 0.0000 0.0000 0.5000  -0.18
Cr 0.5000 0.0000 0.0000  2.71
Ta 0.0000 0.5000 0.0000  -0.18

* DFT formation energy: 4.296 eV per formula unit
* DOS at the Fermi energy: 7.1 states/eV/f.u.
* space group: P4/mmm

# 2
Below is K2Y2P3O12 after structural relaxation, with properties calculated at the PBEsol level.

abc: 10.5961 10.5961 10.5961
angles: 90.00 90.00 90.00
Each line ends with the local moment (μB).
Sites, in units of the cell vectors:
O 0.7335 0.9093 0.3522  0.07
O 0.6925 0.7765 0.5459  0.07
O 0.0713 0.7210 0.0088  0.10
O 0.4768 0.9170 0.8221  0.08
O 0.4170 0.6779 0.5232  0.08
O 0.0232 0.0830 0.3221  0.08
Y 0.0990 0.9010 0.4010  -0.01
P 0.4851 0.7811 0.8744  -0.01
P 0.5149 0.2811 0.6256  -0.01
O 0.6779 0.5232 0.4170  0.08
O 0.7765 0.5459 0.6925  0.07
O 0.4912 0.9287 0.2210  0.10
O 0.7235 0.4541 0.1925  0.07
Y 0.9010 0.4010 0.0990  -0.01
P 0.2189 0.3744 0.0149  -0.01
K 0.3175 0.6825 0.1825  0.00
P 0.8744 0.4851 0.7811  -0.01
O 0.4541 0.1925 0.7235  0.07
P 0.2811 0.6256 0.5149  -0.01
K 0.0574 0.0574 0.0574  0.00
O 0.8075 0.2235 0.0459  0.07
O 0.5088 0.4287 0.2790  0.10
O 0.1925 0.7235 0.4541  0.07
Y 0.1674 0.6674 0.8326  -0.01
O 0.0830 0.3221 0.0232  0.08
O 0.8221 0.4768 0.9170  0.08
O 0.4287 0.2790 0.5088  0.10
O 0.2790 0.5088 0.4287  0.10
O 0.2765 0.9541 0.3075  0.07
K 0.5574 0.4426 0.9426  0.00
O 0.5907 0.6478 0.2335  0.07
O 0.9768 0.5830 0.1779  0.08
O 0.1478 0.2665 0.4093  0.07
O 0.7210 0.0088 0.0713  0.10
O 0.0459 0.8075 0.2235  0.07
O 0.0907 0.8522 0.7665  0.07
O 0.9170 0.8221 0.4768  0.08
O 0.3075 0.2765 0.9541  0.07
K 0.6825 0.1825 0.3175  0.00
O 0.7665 0.0907 0.8522  0.07
O 0.9093 0.3522 0.7335  0.07
P 0.7189 0.1256 0.9851  -0.01
P 0.1256 0.9851 0.7189  -0.01
O 0.9287 0.2210 0.4912  0.10
O 0.6478 0.2335 0.5907  0.07
P 0.9851 0.7189 0.1256  -0.01
O 0.4093 0.1478 0.2665  0.07
O 0.5830 0.1779 0.9768  0.08
O 0.5713 0.7790 0.9912  0.10
K 0.8175 0.8175 0.8175  0.00
O 0.7790 0.9912 0.5713  0.10
O 0.8522 0.7665 0.0907  0.07
O 0.3221 0.0232 0.0830  0.08
O 0.2335 0.5907 0.6478  0.07
P 0.7811 0.8744 0.4851  -0.01
O 0.1779 0.9768 0.5830  0.08
O 0.3522 0.7335 0.9093  0.07
O 0.9912 0.5713 0.7790  0.10
P 0.3744 0.0149 0.2189  -0.01
P 0.6256 0.5149 0.2811  -0.01
O 0.2210 0.4912 0.9287  0.10
Y 0.5990 0.5990 0.5990  -0.01
Y 0.8326 0.1674 0.6674  -0.01
O 0.0088 0.0713 0.7210  0.10
O 0.2235 0.0459 0.8075  0.07
O 0.5232 0.4170 0.6779  0.08
K 0.9426 0.5574 0.4426  0.00
K 0.4426 0.9426 0.5574  0.00
K 0.1825 0.3175 0.6825  0.00
Y 0.3326 0.3326 0.3326  -0.01
O 0.9541 0.3075 0.2765  0.07
Y 0.6674 0.8326 0.1674  -0.01
O 0.2665 0.4093 0.1478  0.07
P 0.0149 0.2189 0.3744  -0.01
Y 0.4010 0.0990 0.9010  -0.01
O 0.5459 0.6925 0.7765  0.07

* formation energy from raw total energies: -50.6 eV/f.u.
* DOS at the Fermi energy: 13.6 states/eV/f.u.
* space group: P2_13

# 3
Below is DyLuCu2 after structural relaxation, with properties calculated at the PBEsol level.

abc: 4.7599 4.7599 4.7599
angles: 60.00 60.00 60.00
Sites, in units of the cell vectors:
Cu 0.7500 0.7500 0.7500
Lu 0.0000 0.0000 0.0000
Cu 0.2500 0.2500 0.2500
Dy 0.5000 0.5000 0.5000

* DFT formation energy: -1.056 eV per formula unit
* DOS at the Fermi energy: 2.1 states/eV/f.u.
* space group: Fm-3m

# 4
Below is HgSbO2 after structural relaxation, with properties calculated at the PBEsol level.

abc: 6.4367 6.4367 6.4367
angles: 60.00 60.00 60.00
Sites, in units of the cell vectors:
O 0.1250 0.1250 0.1250
Sb 0.2500 0.2500 0.2500
Sb 0.0000 0.0000 0.0000
Hg 0.5000 0.5000 0.5000
O 0.6250 0.1250 0.1250
O 0.1250 0.6250 0.1250
Hg 0.7500 0.7500 0.7500
O 0.1250 0.1250 0.6250

* formation energy from raw total energies: -2.7 eV/f.u.
* DOS at the Fermi energy: 0.2 states/eV/f.u.
* space group: Fd-3m

# 5
Below is TcRu2Pb after structural relaxation, with properties calculated at the PBEsol level.

abc: 2.8717 2.8717 9.0788
angles: 80.90 80.90 60.00
Sites, in units of the cell vectors:
Tc 0.4924 0.4924 0.5228
Ru 0.7502 0.7502 0.7493
Pb 0.2511 0.2511 0.2468
Ru 0.0063 0.0063 0.9811

* DFT formation energy: 2.558 eV per formula unit
* DOS at the Fermi energy: 3.9 states/eV/f.u.
* space group: R3m

# 6
Below is YBrO after structural relaxation, with properties calculated at the PBEsol level.

abc: 3.8060 3.8060 8.3659
angles: 90.00 90.00 90.00
Sites, in units of the cell vectors:
Y 0.5000 0.0000 0.1344
Y 0.0000 0.5000 0.8656
Br 0.0000 0.5000 0.3290
Br 0.5000 0.0000 0.6710
O 0.5000 0.5000 0.0000
O 0.0000 0.0000 0.0000

* formation energy from raw total energies: -8.9 eV/f.u.
* DOS at the Fermi energy: 0.0 states/eV/f.u.
* space group: P4/nmm

# 7
Below is MgSbOs after structural relaxation, with properties calculated at the PBEsol level.

abc: 3.0382 3.0382 7.0646
angles: 96.98 96.98 115.76
Sites, in units of the cell vectors:
Sb 0.3174 0.3174 0.6348
Mg 0.0157 0.0157 0.0314
Os 0.6669 0.6669 0.3337

* formation energy from raw total energies: 1.5 eV/f.u.
* DOS at the Fermi energy: 2.2 states/eV/f.u.
* space group: Fmm2

# 8
Below is HgOsSeO2 after structural relaxation, with properties calculated at the PBEsol level.

abc: 3.7787 3.7787 6.0925
angles: 90.00 90.00 90.00
Each line ends with the local moment (μB).
Sites, in units of the cell vectors:
Se 0.0000 0.0000 0.0000  0.03
O 0.0000 0.5000 0.0000  0.02
Hg 0.0000 0.0000 0.5000  -0.01
O 0.5000 0.0000 0.0000  0.02
Os 0.5000 0.5000 0.5000  2.28

* formation energy from raw total energies: 5.1 eV/f.u.
* DOS at the Fermi energy: 3.2 states/eV/f.u.
* space group: P4/mmm

# 9
Below is AlAg3 after structural relaxation, with properties calculated at the PBEsol level.

abc: 4.0079 4.0079 8.5137
angles: 103.61 103.61 90.00
Sites, in units of the cell vectors:
Ag 0.0000 0.5000 0.0000
Ag 0.6240 0.6240 0.2480
Ag 0.3760 0.3760 0.7520
Ag 0.2500 0.7500 0.5000
Al 0.8734 0.8734 0.7469
Ag 0.5000 0.0000 0.0000
Ag 0.7500 0.2500 0.5000
Al 0.1266 0.1266 0.2531

* DFT formation energy: -0.356 eV per formula unit
* DOS at the Fermi energy: 1.2 states/eV/f.u.
* space group: I4/mmm

# 10
Below is TlIn2Ir after structural relaxation, with properties calculated at the PBEsol level.

abc: 3.1168 3.1168 8.8925
angles: 90.00 90.00 90.00
Sites, in units of the cell vectors:
Tl 0.5000 0.5000 0.7028
Ir 0.0000 0.0000 0.4862
In 0.5000 0.5000 0.3002
In 0.0000 0.0000 0.0108

* DFT formation energy: 0.612 eV per formula unit
* DOS at the Fermi energy: 1.5 states/eV/f.u.
* space group: P4mm

# 11
Below is Cu3P after structural relaxation, with properties calculated at the PBEsol level.

abc: 3.9726 3.9726 7.1732
angles: 90.00 90.00 120.00
Sites, in units of the cell vectors:
P 0.6667 0.3333 0.7138
Cu 0.0000 0.0000 0.1868
Cu 0.0000 0.0000 0.8132
Cu 0.3333 0.6667 0.9641
P 0.3333 0.6667 0.2862
Cu 0.6667 0.3333 0.3884
Cu 0.3333 0.6667 0.6116
Cu 0.6667 0.3333 0.0359

* DFT formation energy: -0.055 eV per formula unit
* DOS at the Fermi energy: 0.9 states/eV/f.u.
* space group: P-3m1

# 12
Below is TiMn3P6O24 after structural relaxation, with properties calculated at the PBEsol level.

abc: 8.1618 8.1618 8.5646
angles: 61.54 61.54 60.00
Each line ends with the local moment (μB).
Sites, in units of the cell vectors:
P 0.5198 0.9672 0.2508  0.01
Mn 0.3605 0.3605 0.9184  2.05
O 0.4935 0.8741 0.9354  -0.01
O 0.2436 0.6056 0.7706  0.00
Mn 0.6408 0.6408 0.0775  2.26
Mn 0.1449 0.1449 0.5652  2.42
O 0.9630 0.3118 0.7122  0.00
O 0.4043 0.6021 0.2350  -0.01
O 0.9868 0.0517 0.2859  -0.01
O 0.3802 0.2436 0.7706  0.00
O 0.6625 0.0196 0.5903  -0.02
O 0.1204 0.3261 0.0635  0.00
P 0.7491 0.4658 0.7492  0.01
O 0.0129 0.9630 0.7122  0.00
P 0.0358 0.7491 0.7492  0.01
O 0.7586 0.4043 0.2350  -0.01
O 0.6756 0.9868 0.2859  -0.01
P 0.2622 0.5198 0.2508  0.01
O 0.0196 0.7276 0.5903  -0.02
P 0.4658 0.0358 0.7492  0.01
O 0.0517 0.6756 0.2859  -0.01
O 0.4900 0.1204 0.0635  0.00
O 0.6021 0.7586 0.2350  -0.01
O 0.6970 0.4935 0.9354  -0.01
O 0.8741 0.6970 0.9354  -0.01
O 0.6056 0.3802 0.7706  0.00
O 0.3118 0.0129 0.7122  0.00
P 0.9672 0.2622 0.2508  0.01
O 0.9831 0.2849 0.4117  -0.01
Ti 0.8584 0.8584 0.4249  0.02
O 0.3203 0.9831 0.4117  -0.01
O 0.7276 0.6625 0.5903  -0.02
O 0.2849 0.3203 0.4117  -0.01
O 0.3261 0.4900 0.0635  0.00

* formation energy from raw total energies: -68.0 eV/f.u.
* DOS at the Fermi energy: 13.9 states/eV/f.u.
* space group: R3

# 13
Below is MgCuF5 after structural relaxation, with properties calculated at the PBEsol level.

abc: 5.1356 5.1356 7.2654
angles: 97.38 110.75 108.50
Each line ends with the local moment (μB).
Sites, in units of the cell vectors:
F 0.1475 0.8975 0.2500  0.10
Mg 0.2128 0.4628 0.7500  0.01
F 0.2451 0.6698 0.5326  0.11
F 0.6372 0.7125 0.9674  0.11
F 0.0740 0.7183 0.8680  0.10
F 0.7549 0.3302 0.4674  0.11
Cu 0.5000 0.0000 0.5000  0.78
F 0.3628 0.2875 0.0326  0.11
F 0.3503 0.2060 0.6320  0.10
F 0.6497 0.7940 0.3680  0.10
Mg 0.7872 0.5372 0.2500  0.01
F 0.9260 0.2817 0.1320  0.10
F 0.8525 0.1025 0.7500  0.10
Cu 0.0000 0.0000 0.0000  0.78

* formation energy from raw total energies: -15.5 eV/f.u.
* DOS at the Fermi energy: 3.4 states/eV/f.u.
* space group: C2/c

# 14
Below is NiSnGe2Br after structural relaxation, with properties calculated at the PBEsol level.

abc: 4.6936 5.3147 5.3147
angles: 90.00 90.00 90.00
Each line ends with the local moment (μB).
Sites, in units of the cell vectors:
Ge 0.0000 0.5000 0.0000  0.00
Br 0.5000 0.5000 0.5000  0.00
Sn 0.0000 0.0000 0.0000  0.00
Ge 0.0000 0.0000 0.5000  0.00
Ni 0.5000 0.0000 0.0000  0.19

* formation energy from raw total energies: 4.1 eV/f.u.
* DOS at the Fermi energy: 6.5 states/eV/f.u.
* space group: P4/mmm

# 15
Below is BaMg2W after structural relaxation, with properties calculated at the PBEsol level.

abc: 2.9743 5.4234 6.1424
angles: 96.48 90.00 105.92
Sites, in units of the cell vectors:
Mg 0.2663 0.5327 0.3051
Mg 0.7337 0.4673 0.6949
Ba 0.5000 0.0000 0.0000
W 0.0000 0.0000 0.5000

* DFT formation energy: 3.237 eV per formula unit
* DOS at the Fermi energy: 4.3 states/eV/f.u.
* space group: C2/m

# 16
Below is AlSiHg after structural relaxation, with properties calculated at the PBEsol level.

abc: 3.0473 3.0473 6.2045
angles: 104.22 104.22 90.00
Sites, in units of the cell vectors:
Si 0.3478 0.3478 0.6956
Hg 0.6646 0.6646 0.3293
Al 0.9876 0.9876 0.9751

* formation energy from raw total energies: 0.8 eV/f.u.
* DOS at the Fermi energy: 1.3 states/eV/f.u.
* space group: I4mm

# 17
Below is PRu2Br after structural relaxation, with properties calculated at the PBEsol level.

abc: 3.5866 3.5866 5.1296
angles: 110.46 110.46 90.00
Sites, in units of the cell vectors:
P 0.2500 0.7500 0.5000
Br 0.5000 0.5000 0.0000
Ru 0.7500 0.2500 0.5000
Ru 0.0000 0.0000 0.0000

* formation energy from raw total energies: 3.0 eV/f.u.
* DOS at the Fermi energy: 4.4 states/eV/f.u.
* space group: I-4m2

# 18
Below is BaCu2Mo after structural relaxation, with properties calculated at the PBEsol level.

abc: 3.1812 3.1812 7.4129
angles: 90.00 90.00 90.00
Sites, in units of the cell vectors:
Cu 0.0000 0.0000 0.8258
Ba 0.5000 0.5000 0.5000
Cu 0.0000 0.0000 0.1742
Mo 0.5000 0.5000 0.0000

* DFT formation energy: 2.217 eV per formula unit
* DOS at the Fermi energy: 3.8 states/eV/f.u.
* space group: P4/mmm

# 19
Below is ScCdBr2 after structural relaxation, with properties calculated at the PBEsol level.

abc: 3.4268 3.4268 8.1109
angles: 90.00 90.00 90.00
Each line ends with the local moment (μB).
Sites, in units of the cell vectors:
Sc 0.5000 0.5000 0.7572  0.45
Cd 0.0000 0.0000 0.5031  0.01
Br 0.0000 0.0000 0.9403  0.00
Br 0.5000 0.5000 0.2994  0.01

* formation energy from raw total energies: -3.1 eV/f.u.
* DOS at the Fermi energy: 1.8 states/eV/f.u.
* space group: P4mm

# 20
Below is U4Ge6Os7 after structural relaxation, with properties calculated at the PBEsol level.

abc: 7.1354 7.1354 7.1354
angles: 109.47 109.47 109.47
Each line ends with the local moment (μB).
Sites, in units of the cell vectors:
U 0.5000 0.0000 0.0000  0.72
U 0.0000 0.0000 0.5000  0.72
Ge 0.6928 0.6928 0.0000  0.00
U 0.5000 0.5000 0.5000  0.72
Os 0.5000 0.2500 0.7500  -0.11
Ge 0.3072 0.0000 0.3072  0.00
Ge 0.6928 0.0000 0.6928  0.00
Os 0.0000 0.0000 0.0000  0.11
Os 0.2500 0.7500 0.5000  -0.11
U 0.0000 0.5000 0.0000  0.72
Os 0.5000 0.7500 0.2500  -0.11
Os 0.7500 0.5000 0.2500  -0.11
Os 0.2500 0.5000 0.7500  -0.11
Ge 0.0000 0.6928 0.6928  0.00
Os 0.7500 0.2500 0.5000  -0.11
Ge 0.0000 0.3072 0.3072  0.00
Ge 0.3072 0.3072 0.0000  0.00

* DFT formation energy: -5.949 eV per formula unit
* DOS at the Fermi energy: 16.4 states/eV/f.u.
* space group: Im-3m